# 1
{
  "formula": "Gd2Dy2C3",
  "functional": "PBE-GGA",
  "state": "optimized geometry",
  "lattice_angstrom": [[-2.991, 3.105, -5.247], [-4.782, -0.133, -4.820], [-2.056, 1.856, 5.447]],
  "species": ["C", "C", "C", "Dy", "Dy", "Gd", "Gd"],
  "fractional_positions": [[0.000, 0.000, 0.000], [0.721, 0.721, 0.705], [0.279, 0.279, 0.295], [0.133, 0.133, 0.446], [0.867, 0.867, 0.554], [0.364, 0.364, 0.005], [0.636, 0.636, 0.995]],
  "crystal_system": "monoclinic",
  "total_energy_ev_per_atom": -6.782,
  "m_tot_mub_per_cell": 0.00
}



# 2
{
  "formula": "NaH4AuBr4O2",
  "functional": "PBE-GGA",
  "state": "optimized geometry",
  "lattice_angstrom": [[-0.440, -12.238, -4.895], [5.964, -1.710, 3.739], [-5.332, -2.714, 7.264]],
  "species": ["Au", "Au", "Au", "Au", "O", "O", "O", "O", "O", "O", "O", "O", "Br", "Br", "Br", "Br", "Br", "Br", "Br", "Br", "Br", "Br", "Br", "Br", "Br", "Br", "Br", "Br", "Na", "Na", "Na", "Na", "H", "H", "H", "H", "H", "H", "H", "H", "H", "H", "H", "H", "H", "H", "H", "H"],
  "fractional_positions": [[0.938, 0.250, 0.492], [0.438, 0.250, 0.008], [0.562, 0.750, 0.992], [0.062, 0.750, 0.508], [0.116, 0.499, 0.963], [0.884, 0.501, 0.037], [0.616, 0.001, 0.537], [0.384, 0.501, 0.463], [0.116, 0.001, 0.963], [0.884, 0.999, 0.037], [0.616, 0.499, 0.537], [0.384, 0.999, 0.463], [0.450, 0.750, 0.782], [0.173, 0.750, 0.296], [0.590, 0.250, 0.855], [0.410, 0.750, 0.145], [0.910, 0.750, 0.355], [0.050, 0.250, 0.282], [0.827, 0.250, 0.704], [0.550, 0.250, 0.218], [0.327, 0.250, 0.796], [0.787, 0.250, 0.334], [0.090, 0.250, 0.645], [0.213, 0.750, 0.666], [0.950, 0.750, 0.718], [0.713, 0.750, 0.834], [0.673, 0.750, 0.204], [0.287, 0.250, 0.166], [0.988, 0.250, 0.949], [0.512, 0.750, 0.449], [0.488, 0.250, 0.551], [0.012, 0.750, 0.051], [0.859, 0.024, 0.133], [0.175, 0.042, 0.017], [0.175, 0.458, 0.017], [0.825, 0.958, 0.983], [0.141, 0.976, 0.867], [0.675, 0.458, 0.483], [0.641, 0.524, 0.633], [0.641, 0.976, 0.633], [0.675, 0.042, 0.483], [0.141, 0.524, 0.867], [0.359, 0.024, 0.367], [0.859, 0.476, 0.133], [0.825, 0.542, 0.983], [0.325, 0.542, 0.517], [0.359, 0.476, 0.367], [0.325, 0.958, 0.517]],
  "crystal_system": "orthorhombic",
  "total_energy_ev_per_atom": -3.715
}



# 3
{
  "formula": "NaAgSb",
  "functional": "PBE-GGA",
  "state": "optimized geometry",
  "lattice_angstrom": [[4.066, 0.721, 2.308], [-0.016, 0.586, 4.694], [1.755, -3.376, 2.812]],
  "species": ["Ag", "Sb", "Na"],
  "fractional_positions": [[0.000, 0.000, 0.000], [0.750, 0.750, 0.750], [0.250, 0.250, 0.250]],
  "crystal_system": "cubic",
  "e_above_lowest_polymorph_mev_per_atom": 92,
  "total_energy_ev_per_atom": -2.913
}



# 4
{
  "formula": "Na2MgFeAs2",
  "functional": "PBE-GGA",
  "state": "optimized geometry",
  "lattice_angstrom": [[-2.314, 1.803, 2.991], [-2.601, -3.285, -0.032], [3.948, -3.175, 4.968]],
  "species": ["Na", "Na", "Mg", "As", "As", "Fe"],
  "fractional_positions": [[0.000, 0.500, 0.356], [0.500, 0.000, 0.644], [0.500, 0.500, 0.000], [0.000, 0.500, 0.781], [0.500, 0.000, 0.219], [0.000, 0.000, 0.000]],
  "crystal_system": "tetragonal",
  "total_energy_ev_per_atom": -3.982,
  "m_tot_mub_per_cell": 3.66
}



# 5
{
  "formula": "SmGdZnIr2",
  "functional": "PBE-GGA",
  "state": "optimized geometry",
  "lattice_angstrom": [[-2.103, 2.923, 4.230], [2.103, -2.923, 4.230], [2.103, 2.923, -4.230]],
  "species": ["Zn", "Gd", "Ir", "Ir", "Sm"],
  "fractional_positions": [[0.001, 0.001, 0.000], [0.298, 0.798, 0.500], [0.731, 0.500, 0.232], [0.268, 0.500, 0.768], [0.702, 0.202, 0.500]],
  "crystal_system": "orthorhombic",
  "ef_kcal_per_mol_atoms": -16.87,
  "total_energy_ev_per_atom": -6.400,
  "m_tot_mub_per_cell": 0.01
}



# 6
{
  "formula": "LuCuSiAu",
  "functional": "PBE-GGA",
  "state": "optimized geometry",
  "lattice_angstrom": [[1.667, 2.056, 3.784], [-2.858, 1.206, 3.421], [0.107, -2.285, 4.012]],
  "species": ["Si", "Cu", "Lu", "Au"],
  "fractional_positions": [[0.000, 0.000, 0.000], [0.750, 0.750, 0.750], [0.500, 0.500, 0.500], [0.250, 0.250, 0.250]],
  "crystal_system": "cubic",
  "e_above_lowest_polymorph_mev_per_atom": 0,
  "total_energy_ev_per_atom": -4.572,
  "m_tot_mub_per_cell": 0.00
}